Density functional theory data (PBE-GGA) for a relaxed Be2PtSe crystal.

Cell and atoms, written as CIF:
```
data_Be2PtSe
_cell_length_a 6.057
_cell_length_b 6.057
_cell_length_c 6.057
_cell_angle_alpha 90.00
_cell_angle_beta 90.00
_cell_angle_gamma 90.00
_symmetry_space_group_name_H-M 'F -4 3 m'
_symmetry_Int_Tables_number 216
_symmetry_space_group_name_Hall 'F -4 2 3'
loop_
_atom_site_label
_atom_site_type_symbol
_atom_site_fract_x
_atom_site_fract_y
_atom_site_fract_z
_atom_site_occupancy
Be1 Be 0.000 0.000 0.000 1
Be2 Be 0.250 0.250 0.250 1
Pt1 Pt 0.250 0.250 0.750 1
Se1 Se 0.000 0.000 0.500 1
```

Output
Its calculated total energy is -62.937 eV per cell. The value obtained for the formation energy from raw total energies is 30 kJ/mol of atoms.